The following is a DFT calculation (PBE+U) of a relaxed structure of Li5Cr2Co3O10.

Lattice parameters (Å, degrees): 5.0009 5.1028 7.7315 109.54 102.46 99.17
With the nearest neighbours (Å) after each atom.
Fractional positions:
1 Li 0.5000 0.5000 0.5000  6 O 2.10-2.14
2 Li 0.2159 0.9174 0.4112  6 O 2.07-2.29
3 Li 0.4082 0.3042 0.7906  6 O 2.04-2.27
4 Li 0.7841 0.0826 0.5888  6 O 2.07-2.29
5 Li 0.5918 0.6958 0.2094  6 O 2.04-2.27
6 O 0.9585 0.9176 0.1378  3 Co 1.94-2.11, 1 Cr 2.06
7 O 0.7706 0.5380 0.7669  2 Co 1.93-2.00, 1 Cr 2.04, 2 Li 2.08-2.14
8 O 0.1304 0.3161 0.5507  2 Cr 1.95-1.98, 4 Li 2.07-2.12
9 O 0.8696 0.6839 0.4493  2 Cr 1.95-1.98, 4 Li 2.07-2.12
10 O 0.2294 0.4620 0.2331  2 Co 1.93-2.00, 1 Cr 2.04, 2 Li 2.08-2.14
11 O 0.0415 0.0824 0.8622  3 Co 1.94-2.11, 1 Cr 2.06
12 O 0.4557 0.9001 0.6698  1 Co 1.93, 1 Cr 1.94, 4 Li 2.04-2.14
13 O 0.6413 0.2718 0.0513  3 Co 1.96-2.16, 1 Cr 2.04, 2 Li 2.17-2.18
14 O 0.3587 0.7282 0.9487  3 Co 1.96-2.16, 1 Cr 2.04, 2 Li 2.17-2.18
15 O 0.5443 0.0999 0.3302  1 Co 1.93, 1 Cr 1.94, 4 Li 2.04-2.14
16 Co 0.3001 0.0983 0.0996  6 O 1.93-1.97
17 Co 0.6999 0.9017 0.9004  6 O 1.93-1.97
18 Co 0.0000 0.5000 0.0000  6 O 2.00-2.16
19 Cr 0.8909 0.2974 0.3051  6 O 1.94-2.06
20 Cr 0.1091 0.7026 0.6949  6 O 1.94-2.06

DOS at the Fermi energy ... 0.2261 states/eV per atom
Energy ... -6.11 eV per atom